## a
VASP calculation (PBE-GGA) on crystalline Na2HfF8 at its relaxed geometry.

```
Na2HfF8
1.0
6.0411 -1.8643 0.0000
6.0411 1.8643 0.0000
-1.2875 0.0000 7.8321
Na Hf F
2 1 8
Direct
0.2468 0.2468 0.2723 Na
0.7532 0.7532 0.7277 Na
0.0000 0.0000 0.5000 Hf
0.0623 0.0623 0.2783 F
0.1736 0.1736 0.5798 F
0.2518 0.2518 0.9877 F
0.4473 0.4473 0.3655 F
0.5527 0.5527 0.6345 F
0.7482 0.7482 0.0123 F
0.8264 0.8264 0.4202 F
0.9377 0.9377 0.7217 F
```

The value obtained for the theoretical density is 3543 kg/m3. As for the symmetry: C2/m. The value obtained for the total moment is 0.7 μB per formula unit.

***

## b
VASP calculation (PBE-GGA) on crystalline Na2HfF8 at its relaxed geometry.

```
Na2HfF8
1.0
7.5881 -1.8641 0.0000
7.5881 1.8641 0.0000
-1.8678 0.0000 5.0003
Na Hf F
2 1 8
Direct
0.1522 0.1522 0.1171 Na
0.8478 0.8478 0.8829 Na
0.5000 0.5000 0.5000 Hf
0.0235 0.0235 0.7277 F
0.2311 0.2311 0.5677 F
0.3654 0.3654 0.2114 F
0.4190 0.4190 0.7346 F
0.5810 0.5810 0.2654 F
0.6346 0.6346 0.7886 F
0.7689 0.7689 0.4323 F
0.9765 0.9765 0.2723 F
```

The value obtained for the theoretical density is 4419 kg/m3. As for the symmetry: C2/m. The value obtained for the total moment is 2.1 μB per formula unit.

***

Relative energies, eV/atom: a 0.000; b 0.043.

***

## a
VASP calculation (PBE-GGA) on crystalline Na3HfF at its relaxed geometry.

```
Na3HfF
1.0
4.8585 0.0000 0.0000
0.0000 4.8585 0.0000
0.0000 0.0000 4.8585
Na Hf F
3 1 1
Direct
0.0000 0.0000 0.5000 Na
0.0000 0.5000 0.0000 Na
0.5000 0.0000 0.0000 Na
0.5000 0.5000 0.5000 Hf
0.0000 0.0000 0.0000 F
```

The value obtained for the theoretical density is 3858 kg/m3. As for the symmetry: Pm-3m. The value obtained for the total moment is 0.0 μB per formula unit.

***

## b
VASP calculation (PBE-GGA) on crystalline Na3HfF at its relaxed geometry.

```
Na3HfF
1.0
6.3627 0.0000 0.0000
0.0000 6.3627 0.0000
0.0000 0.0000 6.3627
Na Hf F
3 1 1
Direct
0.0000 0.0000 0.5000 Na
0.0000 0.5000 0.0000 Na
0.5000 0.0000 0.0000 Na
0.0000 0.0000 0.0000 Hf
0.5000 0.5000 0.5000 F
```

The value obtained for the theoretical density is 1718 kg/m3. As for the symmetry: Pm-3m. The value obtained for the total moment is 4.0 μB per formula unit.

***

Relative energies, eV/atom: a 0.000; b 0.992.

***

## a
VASP calculation (PBE-GGA) on crystalline NaHf2F at its relaxed geometry.

```
NaHf2F
1.0
-4.0741 4.0741 2.2946
4.0741 -4.0741 2.2946
4.0741 4.0741 -2.2946
Na Hf F
2 4 2
Direct
0.0000 0.0000 0.0000 Na
0.7500 0.2500 0.5000 Na
0.2464 0.6250 0.1214 Hf
0.3750 0.4964 0.6214 Hf
0.5036 0.1250 0.8786 Hf
0.8750 0.7536 0.3786 Hf
0.2500 0.7500 0.5000 F
0.5000 0.5000 0.0000 F
```

The value obtained for the theoretical density is 8697 kg/m3. As for the symmetry: I-42d. The value obtained for the total moment is 0.0 μB per formula unit.

***

## b
VASP calculation (PBE-GGA) on crystalline NaHf2F at its relaxed geometry.

```
NaHf2F
1.0
0.0000 3.4045 3.4045
3.4045 0.0000 3.4045
3.4045 3.4045 0.0000
Na Hf F
1 2 1
Direct
0.0000 0.0000 0.0000 Na
0.2500 0.2500 0.2500 Hf
0.7500 0.7500 0.7500 Hf
0.5000 0.5000 0.5000 F
```

The value obtained for the theoretical density is 8395 kg/m3. As for the symmetry: Fm-3m. The value obtained for the total moment is 0.0 μB per formula unit.

***

Relative energies, eV/atom: a 0.000; b 0.725.

***

## a
VASP calculation (PBE-GGA) on crystalline HfNbF2 at its relaxed geometry.

```
HfNbF2
1.0
-2.0535 2.0535 7.1881
2.0535 -2.0535 7.1881
2.0535 2.0535 -7.1881
Hf Nb F
2 2 4
Direct
0.0000 0.0000 0.0000 Hf
0.7500 0.2500 0.5000 Hf
0.2500 0.7500 0.5000 Nb
0.5000 0.5000 0.0000 Nb
0.0978 0.6250 0.9728 F
0.3750 0.3478 0.4728 F
0.6522 0.1250 0.0272 F
0.8750 0.9022 0.5272 F
```

The value obtained for the theoretical density is 8475 kg/m3. As for the symmetry: I-42d. The value obtained for the total moment is 0.0 μB per formula unit.

***

## b
VASP calculation (PBE-GGA) on crystalline HfNbF2 at its relaxed geometry.

```
HfNbF2
1.0
0.0000 3.0714 3.0714
3.0714 0.0000 3.0714
3.0714 3.0714 0.0000
Hf Nb F
1 1 2
Direct
0.0000 0.0000 0.0000 Hf
0.5000 0.5000 0.5000 Nb
0.2500 0.2500 0.2500 F
0.7500 0.7500 0.7500 F
```

The value obtained for the theoretical density is 8866 kg/m3. As for the symmetry: Fm-3m. The value obtained for the total moment is 0.0 μB per formula unit.

***

Relative energies, eV/atom: a 0.000; b 0.596.

***

## a
VASP calculation (PBE-GGA) on crystalline HfNb3F at its relaxed geometry.

```
HfNb3F
1.0
4.9957 0.0000 0.0000
0.0000 4.9957 0.0000
0.0000 0.0000 4.9957
Hf Nb F
1 3 1
Direct
0.0000 0.0000 0.0000 Hf
0.0000 0.0000 0.5000 Nb
0.0000 0.5000 0.0000 Nb
0.5000 0.0000 0.0000 Nb
0.5000 0.5000 0.5000 F
```

The value obtained for the theoretical density is 6343 kg/m3. As for the symmetry: Pm-3m. The value obtained for the total moment is 0.8 μB per formula unit.

***

## b
VASP calculation (PBE-GGA) on crystalline HfNb3F at its relaxed geometry.

```
HfNb3F
1.0
4.4277 0.0000 0.0000
0.0000 4.4277 0.0000
0.0000 0.0000 4.4277
Hf Nb F
1 3 1
Direct
0.0000 0.0000 0.0000 Hf
0.0000 0.5000 0.5000 Nb
0.5000 0.0000 0.5000 Nb
0.5000 0.5000 0.0000 Nb
0.5000 0.5000 0.5000 F
```

The value obtained for the theoretical density is 9110 kg/m3. As for the symmetry: Pm-3m. The value obtained for the total moment is 0.0 μB per formula unit.

***

Relative energies, eV/atom: a 1.802; b 0.000.

***

## a
VASP calculation (PBE-GGA) on crystalline HfNbOF2 at its relaxed geometry.

```
HfNbOF2
1.0
4.2944 0.0000 0.0000
0.0000 4.2944 0.0000
0.0000 0.0000 4.0948
Hf Nb O F
1 1 1 2
Direct
0.0000 0.0000 0.0000 Hf
0.5000 0.5000 0.5000 Nb
0.0000 0.0000 0.5000 O
0.0000 0.5000 0.0000 F
0.5000 0.0000 0.0000 F
```

The value obtained for the theoretical density is 7155 kg/m3. As for the symmetry: P4/mmm. The value obtained for the total moment is 4.7 μB per formula unit.

***

## b
VASP calculation (PBE-GGA) on crystalline HfNbOF2 at its relaxed geometry.

```
HfNbOF2
1.0
4.3733 0.0000 0.0000
0.0000 4.3733 0.0000
0.0000 0.0000 3.9899
Hf Nb O F
1 1 1 2
Direct
0.0000 0.0000 0.0000 Hf
0.5000 0.5000 0.5000 Nb
0.5000 0.5000 0.0000 O
0.0000 0.5000 0.5000 F
0.5000 0.0000 0.5000 F
```

The value obtained for the theoretical density is 7081 kg/m3. As for the symmetry: P4/mmm. The value obtained for the total moment is 3.4 μB per formula unit.

***

Relative energies, eV/atom: a 0.000; b 0.479.